A relaxed structure of Pr2NdCu2Hg3Pd, computed with PBE-GGA.

a b c (Å): 3.9533 13.4290 7.7444
angles (deg): 90.00 90.00 90.00
Space group Amm2 (No. 38)
Unique sites:
Pr: 0.0000 0.1990 0.0000
Nd: 0.0000 0.0000 0.4035
Cu: 0.5000 0.1659 0.3015
Hg: 0.5000 0.0000 0.0716
Hg: 0.5000 0.1344 0.6658
Pd: 0.0000 0.0000 0.8006

Values from the calculation:
E_form: -0.42 eV/atom
size of the total moment: 0.00 μB per formula unit



A relaxed structure of CuNiHgSb, computed with PBE-GGA.

a b c (Å): 6.5003 6.5003 6.5003
angles (deg): 90.00 90.00 90.00
Space group F-43m (No. 216)
Unique sites:
Cu: 0.0000 0.0000 0.0000
Ni: 0.0000 0.0000 0.5000
Hg: 0.2500 0.2500 0.2500
Sb: 0.2500 0.2500 0.7500

Values from the calculation:
size of the total moment: 0.00 μB per formula unit



A relaxed structure of CuSiNiHg, computed with PBE-GGA.

a b c (Å): 6.1205 6.1205 6.1205
angles (deg): 90.00 90.00 90.00
Space group F-43m (No. 216)
Unique sites:
Cu: 0.0000 0.0000 0.0000
Si: 0.2500 0.2500 0.7500
Ni: 0.0000 0.0000 0.5000
Hg: 0.2500 0.2500 0.2500

Values from the calculation:
size of the total moment: 0.00 μB per formula unit



A relaxed structure of ZnCuNiHg, computed with PBE-GGA.

a b c (Å): 6.1435 6.1435 6.1435
angles (deg): 90.00 90.00 90.00
Space group F-43m (No. 216)
Unique sites:
Zn: 0.0000 0.0000 0.0000
Cu: 0.2500 0.2500 0.2500
Ni: 0.2500 0.2500 0.7500
Hg: 0.0000 0.0000 0.5000

Values from the calculation:
E_form: 0.06 eV/atom
size of the total moment: 0.00 μB per formula unit



A relaxed structure of NpCuHg, computed with PBE-GGA.

a b c (Å): 6.5671 6.5671 6.5671
angles (deg): 90.00 90.00 90.00
Space group F-43m (No. 216)
Unique sites:
Np: 0.0000 0.0000 0.0000
Cu: 0.2500 0.2500 0.7500
Hg: 0.0000 0.0000 0.5000

Values from the calculation:
E_form: 0.40 eV/atom
size of the total moment: 4.64 μB per formula unit



A relaxed structure of CuHgOsPb, computed with PBE-GGA.

a b c (Å): 6.6395 6.6395 6.6395
angles (deg): 90.00 90.00 90.00
Space group F-43m (No. 216)
Unique sites:
Cu: 0.0000 0.0000 0.0000
Hg: 0.2500 0.2500 0.2500
Os: 0.0000 0.0000 0.5000
Pb: 0.2500 0.2500 0.7500

Values from the calculation:
size of the total moment: 0.00 μB per formula unit



A relaxed structure of CuHgOsPb, computed with PBE-GGA.

a b c (Å): 6.7306 6.7306 6.7306
angles (deg): 90.00 90.00 90.00
Space group F-43m (No. 216)
Unique sites:
Cu: 0.0000 0.0000 0.0000
Hg: 0.0000 0.0000 0.5000
Os: 0.2500 0.2500 0.2500
Pb: 0.2500 0.2500 0.7500

Values from the calculation:
size of the total moment: 0.58 μB per formula unit



A relaxed structure of CuSiHgOs, computed with PBE-GGA.

a b c (Å): 6.2510 6.2510 6.2510
angles (deg): 90.00 90.00 90.00
Space group F-43m (No. 216)
Unique sites:
Cu: 0.0000 0.0000 0.0000
Si: 0.2500 0.2500 0.7500
Hg: 0.2500 0.2500 0.2500
Os: 0.0000 0.0000 0.5000

Values from the calculation:
size of the total moment: 0.00 μB per formula unit



A relaxed structure of CuSnHgOs, computed with PBE-GGA.

a b c (Å): 6.5221 6.5221 6.5221
angles (deg): 90.00 90.00 90.00
Space group F-43m (No. 216)
Unique sites:
Cu: 0.0000 0.0000 0.0000
Sn: 0.2500 0.2500 0.7500
Hg: 0.2500 0.2500 0.2500
Os: 0.0000 0.0000 0.5000

Values from the calculation:
size of the total moment: 0.00 μB per formula unit



A relaxed structure of ZnCuHgOs, computed with PBE-GGA.

a b c (Å): 6.2810 6.2810 6.2810
angles (deg): 90.00 90.00 90.00
Space group F-43m (No. 216)
Unique sites:
Zn: 0.0000 0.0000 0.0000
Cu: 0.2500 0.2500 0.2500
Hg: 0.0000 0.0000 0.5000
Os: 0.2500 0.2500 0.7500

Values from the calculation:
E_form: 0.58 eV/atom
size of the total moment: 0.00 μB per formula unit



A relaxed structure of CuHgPS4, computed with PBE-GGA.

a b c (Å): 12.7453 7.4442 6.1747
angles (deg): 90.00 90.00 90.00
Space group Pna2_1 (No. 33)
Unique sites:
Cu: 0.1600 0.0049 0.0000
Hg: 0.0726 0.2684 0.5061
P: 0.0930 0.7621 0.4954
S: 0.0655 0.2616 0.9222
S: 0.1128 0.7460 0.8291
S: 0.1716 0.5469 0.3553
S: 0.1737 0.9805 0.3713



A relaxed structure of PaCuHg, computed with PBE-GGA.

a b c (Å): 6.6438 6.6438 6.6438
angles (deg): 90.00 90.00 90.00
Space group F-43m (No. 216)
Unique sites:
Pa: 0.0000 0.0000 0.0000
Cu: 0.0000 0.0000 0.5000
Hg: 0.2500 0.2500 0.7500

Values from the calculation:
E_form: 0.36 eV/atom
size of the total moment: 0.65 μB per formula unit



In the order shown, the computed total DFT energy (no corrections) values come out to -3.509; -3.206; -3.547; -2.650; -5.198; -3.958; -3.725; -4.618; -4.266; -3.551; -3.918; -4.144 eV per atom.